The following is a DFT calculation (PBE) of crystalline BaCa2AcIn2 at its relaxed geometry.

Lattice parameters (Å, degrees): 5.620 5.620 8.099 90.00 90.00 120.00
Fractional coordinates of all 6 atoms:
In (0.333, 0.667, 0.222)
In (0.667, 0.333, 0.778)
Ba (0.000, 0.000, 0.500)
Ca (0.333, 0.667, 0.758)
Ac (0.000, 0.000, 0.000)
Ca (0.667, 0.333, 0.242)

## Properties
E_tot: -2.8814 eV/atom

The following is a DFT calculation (PBE) of crystalline Li2AcNdSi2 at its relaxed geometry.

Lattice parameters (Å, degrees): 4.557 4.557 7.837 90.00 90.00 120.00
Fractional coordinates of all 6 atoms:
Li (0.333, 0.667, 0.707)
Ac (0.000, 0.000, 0.000)
Si (0.667, 0.333, 0.729)
Li (0.667, 0.333, 0.293)
Nd (0.000, 0.000, 0.500)
Si (0.333, 0.667, 0.271)

## Properties
E_tot: -4.4267 eV/atom

The following is a DFT calculation (PBE) of crystalline Tb4Tl3Hg at its relaxed geometry.

Lattice parameters (Å, degrees): 3.783 3.783 15.260 90.00 90.00 90.00
Fractional coordinates of all 8 atoms:
Tl (0.500, 0.500, 0.755)
Tb (0.000, 0.000, 0.373)
Tb (0.000, 0.000, 0.882)
Tb (0.000, 0.000, 0.627)
Tb (0.000, 0.000, 0.118)
Hg (0.500, 0.500, 0.000)
Tl (0.500, 0.500, 0.500)
Tl (0.500, 0.500, 0.245)

## Properties
E_tot: -3.6279 eV/atom

The following is a DFT calculation (PBE) of crystalline TeWCl9 at its relaxed geometry.

Lattice parameters (Å, degrees): 6.731 9.892 12.105 109.36 108.37 87.68
Site moments in Bohr magnetons follow the coordinates.
Fractional coordinates of all 22 atoms:
Cl (0.328, 0.857, 0.849)  0.00
Cl (0.920, 0.620, 0.635)  0.01
Cl (0.642, 0.246, 0.531)  0.01
Cl (0.358, 0.754, 0.469)  0.01
Cl (0.091, 0.210, 0.068)  0.01
Cl (0.080, 0.380, 0.365)  0.01
Cl (0.460, 0.687, 0.089)  0.00
Cl (0.458, 0.498, 0.719)  0.00
Cl (0.909, 0.790, 0.932)  0.01
Cl (0.741, 0.843, 0.381)  0.01
Cl (0.540, 0.313, 0.911)  0.00
Cl (0.672, 0.143, 0.151)  0.00
W (0.410, 0.734, 0.287)  0.73
Cl (0.259, 0.157, 0.619)  0.01
Cl (0.935, 0.390, 0.828)  0.00
Te (0.140, 0.654, 0.837)  0.02
Cl (0.065, 0.610, 0.172)  0.00
Te (0.860, 0.346, 0.163)  0.02
Cl (0.739, 0.057, 0.722)  0.01
W (0.590, 0.266, 0.713)  0.73
Cl (0.542, 0.502, 0.281)  0.00
Cl (0.261, 0.943, 0.278)  0.01

## Properties
E_tot: -3.6902 eV/atom

The following is a DFT calculation (PBE) of crystalline Ag5Sn12Au3 at its relaxed geometry.

Lattice parameters (Å, degrees): 14.198 14.198 14.198 109.47 109.47 109.47
Fractional coordinates of all 80 atoms:
Sn (0.598, 0.730, 0.668)
Ag (0.875, 0.625, 0.750)
Sn (0.270, 0.402, 0.832)
Au (0.250, 0.625, 0.875)
Sn (0.332, 0.561, 0.430)
Sn (0.332, 0.770, 0.402)
Ag (0.250, 0.875, 0.125)
Sn (0.270, 0.868, 0.939)
Sn (0.632, 0.061, 0.230)
Au (0.750, 0.375, 0.125)
Ag (0.500, 0.500, 0.500)
Sn (0.868, 0.598, 0.930)
Sn (0.770, 0.439, 0.368)
Sn (0.439, 0.770, 0.868)
Sn (0.868, 0.270, 0.439)
Sn (0.668, 0.230, 0.598)
Sn (0.230, 0.561, 0.632)
Ag (0.125, 0.750, 0.375)
Sn (0.402, 0.132, 0.570)
Ag (0.750, 0.625, 0.375)
Au (0.625, 0.375, 0.750)
Ag (0.375, 0.125, 0.750)
Au (0.375, 0.625, 0.250)
Sn (0.132, 0.402, 0.070)
Sn (0.730, 0.132, 0.061)
Ag (0.500, 0.000, 0.500)
Sn (0.368, 0.430, 0.098)
Sn (0.939, 0.570, 0.168)
Sn (0.770, 0.332, 0.902)
Ag (0.000, 0.500, 0.500)
Sn (0.098, 0.930, 0.368)
Au (0.625, 0.250, 0.375)
Sn (0.939, 0.368, 0.270)
Sn (0.570, 0.632, 0.402)
Sn (0.730, 0.598, 0.168)
Au (0.125, 0.875, 0.750)
Sn (0.570, 0.939, 0.668)
Sn (0.668, 0.439, 0.570)
Sn (0.070, 0.902, 0.132)
Sn (0.168, 0.098, 0.730)
Sn (0.168, 0.070, 0.939)
Sn (0.598, 0.868, 0.430)
Ag (0.625, 0.750, 0.875)
Sn (0.832, 0.930, 0.061)
Au (0.750, 0.875, 0.625)
Ag (0.000, 0.500, 0.000)
Ag (0.125, 0.375, 0.250)
Sn (0.832, 0.902, 0.270)
Ag (0.500, 0.000, 0.000)
Sn (0.561, 0.230, 0.132)
Sn (0.430, 0.061, 0.332)
Ag (0.000, 0.000, 0.000)
Sn (0.632, 0.570, 0.902)
Au (0.875, 0.750, 0.125)
Au (0.875, 0.125, 0.250)
Sn (0.430, 0.368, 0.598)
Sn (0.902, 0.832, 0.770)
Au (0.375, 0.750, 0.625)
Ag (0.625, 0.875, 0.250)
Ag (0.750, 0.125, 0.875)
Sn (0.930, 0.832, 0.561)
Sn (0.230, 0.668, 0.098)
Sn (0.098, 0.168, 0.230)
Sn (0.561, 0.332, 0.930)
Sn (0.902, 0.070, 0.632)
Ag (0.375, 0.250, 0.125)
Sn (0.930, 0.098, 0.868)
Sn (0.439, 0.668, 0.070)
Au (0.125, 0.250, 0.875)
Au (0.250, 0.125, 0.375)
Ag (0.500, 0.500, 0.000)
Sn (0.061, 0.632, 0.730)
Sn (0.061, 0.430, 0.832)
Ag (0.250, 0.375, 0.625)
Sn (0.402, 0.270, 0.332)
Sn (0.368, 0.939, 0.770)
Sn (0.070, 0.168, 0.439)
Sn (0.132, 0.730, 0.561)
Ag (0.875, 0.250, 0.625)
Ag (0.000, 0.000, 0.500)

## Properties
E_tot: -3.5438 eV/atom

The following is a DFT calculation (PBE) of crystalline PrSm2Ni9 at its relaxed geometry.

Lattice parameters (Å, degrees): 5.036 5.036 8.708 73.19 73.19 60.00
Site moments in Bohr magnetons follow the coordinates.
Fractional coordinates of all 12 atoms:
Ni (0.582, 0.582, 0.754)  0.08
Sm (0.139, 0.139, 0.582)  -0.01
Ni (0.333, 0.333, 0.002)  0.11
Ni (0.582, 0.082, 0.754)  0.08
Ni (0.082, 0.582, 0.754)  0.08
Sm (0.861, 0.861, 0.418)  -0.01
Ni (0.918, 0.418, 0.246)  0.08
Ni (0.418, 0.918, 0.246)  0.08
Ni (0.418, 0.418, 0.246)  0.08
Ni (0.667, 0.667, 0.998)  0.11
Ni (0.500, 0.500, 0.500)  0.05
Pr (0.000, 0.000, 0.000)  -0.01

## Properties
E_tot: -5.8530 eV/atom

The following is a DFT calculation (PBE) of crystalline NbFe3H at its relaxed geometry.

Lattice parameters (Å, degrees): 3.735 3.735 3.735 90.00 90.00 90.00
Site moments in Bohr magnetons follow the coordinates.
Fractional coordinates of all 5 atoms:
Fe (0.000, 0.000, 0.500)  1.56
Nb (0.500, 0.500, 0.500)  -0.68
Fe (0.500, 0.000, 0.000)  1.36
H (0.000, 0.000, 0.000)  -0.02
Fe (0.000, 0.500, 0.000)  1.61

## Properties
E_tot: -7.7862 eV/atom

The following is a DFT calculation (PBE) of crystalline Mg2CuCl at its relaxed geometry.

Lattice parameters (Å, degrees): 3.200 3.200 7.289 90.00 90.00 89.84
Fractional coordinates of all 4 atoms:
Mg (0.000, 0.000, 0.964)
Mg (0.000, 0.000, 0.536)
Cu (0.500, 0.500, 0.750)
Cl (0.500, 0.500, 0.250)

## Properties
E_tot: -2.7036 eV/atom

The following is a DFT calculation (PBE) of crystalline Rb2PmDySe4 at its relaxed geometry.

Lattice parameters (Å, degrees): 4.296 7.441 8.382 107.19 90.00 90.00
Fractional coordinates of all 8 atoms:
Rb (0.000, 0.500, 0.500)
Se (0.000, 0.727, 0.196)
Rb (0.500, 0.000, 0.500)
Se (0.500, 0.761, 0.801)
Se (0.500, 0.239, 0.199)
Dy (0.500, 0.500, 0.000)
Pm (0.000, 0.000, 0.000)
Se (0.000, 0.273, 0.804)

## Properties
E_tot: -4.8905 eV/atom

The following is a DFT calculation (PBE) of crystalline SmErZnRu at its relaxed geometry.

Lattice parameters (Å, degrees): 4.946 4.946 4.946 60.00 60.00 60.00
Fractional coordinates of all 4 atoms:
Zn (0.000, 0.000, 0.000)
Er (0.250, 0.250, 0.250)
Sm (0.750, 0.750, 0.750)
Ru (0.500, 0.500, 0.500)

## Properties
E_tot: -5.2817 eV/atom

The following is a DFT calculation (PBE) of crystalline KRbPbI4 at its relaxed geometry.

Lattice parameters (Å, degrees): 6.324 6.324 10.242 107.98 107.98 90.00
Fractional coordinates of all 7 atoms:
I (0.829, 0.829, 0.657)
I (0.997, 0.497, 0.994)
I (0.176, 0.176, 0.353)
Pb (0.001, 0.001, 0.002)
K (0.364, 0.364, 0.728)
Rb (0.636, 0.636, 0.272)
I (0.497, 0.997, 0.994)

## Properties
E_tot: -2.7785 eV/atom

The following is a DFT calculation (PBE) of crystalline PrEr2Ag2 at its relaxed geometry.

Lattice parameters (Å, degrees): 4.904 5.224 11.018 94.40 90.00 90.00
Fractional coordinates of all 10 atoms:
Er (0.250, 0.249, 0.505)
Er (0.750, 0.751, 0.495)
Er (0.750, 0.159, 0.112)
Ag (0.750, 0.229, 0.367)
Er (0.250, 0.841, 0.888)
Pr (0.750, 0.299, 0.754)
Pr (0.250, 0.701, 0.246)
Ag (0.250, 0.771, 0.633)
Ag (0.250, 0.352, 0.995)
Ag (0.750, 0.648, 0.005)

## Properties
E_tot: -4.0562 eV/atom

The following is a DFT calculation (PBE) of crystalline Pm2CuF8 at its relaxed geometry.

Lattice parameters (Å, degrees): 3.753 6.564 6.330 100.34 98.26 89.62
Site moments in Bohr magnetons follow the coordinates.
Fractional coordinates of all 11 atoms:
Cu (0.500, 0.000, 0.000)  0.72
F (0.686, 0.582, 0.189)  0.00
F (0.230, 0.353, 0.402)  0.00
F (0.861, 0.174, 0.961)  0.07
Pm (0.223, 0.707, 0.366)  0.00
F (0.770, 0.647, 0.598)  0.00
Pm (0.777, 0.293, 0.634)  0.00
F (0.314, 0.418, 0.811)  0.00
F (0.139, 0.826, 0.039)  0.07
F (0.691, 0.998, 0.331)  0.06
F (0.309, 0.002, 0.669)  0.06

## Properties
E_tot: -5.9089 eV/atom

The following is a DFT calculation (PBE) of crystalline Co2AgHPd at its relaxed geometry.

Lattice parameters (Å, degrees): 3.826 3.826 3.937 90.00 90.00 90.00
Site moments in Bohr magnetons follow the coordinates.
Fractional coordinates of all 5 atoms:
Ag (0.500, 0.500, 0.500)  0.05
Co (0.500, 0.000, 0.000)  1.70
H (0.000, 0.000, 0.000)  -0.01
Co (0.000, 0.500, 0.000)  1.70
Pd (0.000, 0.000, 0.500)  0.12

## Properties
E_tot: -4.9050 eV/atom

The following is a DFT calculation (PBE) of crystalline ZrMn3Ir at its relaxed geometry.

Lattice parameters (Å, degrees): 4.447 4.447 4.447 90.00 90.00 90.00
Fractional coordinates of all 5 atoms:
Mn (0.000, 0.000, 0.500)
Mn (0.500, 0.000, 0.000)
Ir (0.000, 0.000, 0.000)
Zr (0.500, 0.500, 0.500)
Mn (0.000, 0.500, 0.000)

## Properties
E_tot: -7.8517 eV/atom

The following is a DFT calculation (PBE) of crystalline Te2Pb2I at its relaxed geometry.

Lattice parameters (Å, degrees): 9.153 9.153 4.113 90.00 90.00 90.00
Fractional coordinates of all 10 atoms:
Pb (0.148, 0.648, 0.500)
Pb (0.648, 0.852, 0.500)
Pb (0.352, 0.148, 0.500)
Te (0.642, 0.142, 0.000)
I (0.000, 0.000, 0.000)
Pb (0.852, 0.352, 0.500)
Te (0.358, 0.858, 0.000)
Te (0.142, 0.358, 0.000)
Te (0.858, 0.642, 0.000)
I (0.500, 0.500, 0.000)

## Properties
E_tot: -3.1868 eV/atom

The following is a DFT calculation (PBE) of crystalline KCrTc2 at its relaxed geometry.

Lattice parameters (Å, degrees): 3.050 3.050 8.826 90.00 90.00 90.00
Site moments in Bohr magnetons follow the coordinates.
Fractional coordinates of all 4 atoms:
K (0.500, 0.500, 0.757)  0.05
Tc (0.000, 0.000, 0.082)  0.46
Cr (0.000, 0.000, 0.422)  3.28
Tc (0.500, 0.500, 0.238)  -0.30

## Properties
E_tot: -7.0898 eV/atom

The following is a DFT calculation (PBE) of crystalline SrLiMg2In4 at its relaxed geometry.

Lattice parameters (Å, degrees): 5.013 5.013 9.849 75.26 75.26 60.00
Fractional coordinates of all 8 atoms:
In (0.128, 0.128, 0.615)
Li (0.500, 0.500, 0.500)
Sr (0.000, 0.000, 0.000)
In (0.872, 0.872, 0.385)
In (0.395, 0.395, 0.814)
Mg (0.757, 0.757, 0.728)
Mg (0.243, 0.243, 0.272)
In (0.605, 0.605, 0.186)

## Properties
E_tot: -2.4445 eV/atom

The following is a DFT calculation (PBE) of crystalline LaBeSb2I at its relaxed geometry.

Lattice parameters (Å, degrees): 4.888 4.888 5.842 90.00 90.00 90.00
Fractional coordinates of all 5 atoms:
Sb (0.000, 0.500, 0.000)
Be (0.000, 0.000, 0.000)
La (0.500, 0.500, 0.500)
Sb (0.500, 0.000, 0.000)
I (0.000, 0.000, 0.500)

## Properties
E_tot: -3.9152 eV/atom

The following is a DFT calculation (PBE) of crystalline ScZnSi at its relaxed geometry.

Lattice parameters (Å, degrees): 5.394 5.394 5.394 148.07 141.20 51.09
Site moments in Bohr magnetons follow the coordinates.
Fractional coordinates of all 3 atoms:
Sc (0.998, 0.998, 0.000)  0.28
Si (0.314, 0.314, 0.000)  0.00
Zn (0.687, 0.687, 0.000)  0.01

## Properties
E_tot: -4.5341 eV/atom

no.,size of the total moment (μB/f.u.)
1,0.00
2,0.00
3,0.00
4,1.01
5,0.00
6,0.63
7,3.76
8,0.00
9,0.00
10,0.00
11,0.00
12,0.00
13,1.02
14,3.46
15,0.01
16,0.00
17,4.21
18,0.00
19,0.00
20,0.42